## Pm3Ni3B8 (PBE)

Data for crystalline Pm3Ni3B8 at its relaxed geometry.

Lattice parameters (Å, degrees): 3.212 7.281 7.281 80.77 77.26 77.26
Atoms (fractional coordinates):
B 0.177 0.131 0.515
B 0.357 0.382 0.904
B 0.643 0.096 0.618
B 0.643 0.618 0.096
B 0.177 0.515 0.131
B 0.823 0.485 0.869
B 0.357 0.904 0.382
B 0.823 0.869 0.485
Ni 0.000 0.785 0.215
Ni 0.000 0.215 0.785
Ni 0.500 0.000 0.000
Pm 0.500 0.500 0.500
Pm 0.204 0.796 0.796
Pm 0.796 0.204 0.204

## Properties
ΔH_f (0 K) in eV per atom: -0.171
Total DFT energy (no corrections) in eV per atom: -6.2433
Fermi-level density of states in states/eV per cell: 4.47

---

## PmNi12B6 (PBE)

Data for crystalline PmNi12B6 at its relaxed geometry.

Lattice parameters (Å, degrees): 6.033 6.033 6.033 104.46 104.46 104.46
Atoms (fractional coordinates):
B 0.766 0.766 0.333
B 0.234 0.667 0.234
B 0.234 0.234 0.667
B 0.333 0.766 0.766
B 0.667 0.234 0.234
B 0.766 0.333 0.766
Pm 0.000 0.000 0.000
Ni 0.187 0.455 0.455
Ni 0.813 0.545 0.545
Ni 0.131 0.869 0.500
Ni 0.131 0.500 0.869
Ni 0.500 0.131 0.869
Ni 0.455 0.187 0.455
Ni 0.869 0.500 0.131
Ni 0.455 0.455 0.187
Ni 0.869 0.131 0.500
Ni 0.545 0.813 0.545
Ni 0.545 0.545 0.813
Ni 0.500 0.869 0.131

## Properties
ΔH_f (0 K) in eV per atom: -0.395
Total DFT energy (no corrections) in eV per atom: -6.4051
Fermi-level density of states in states/eV per cell: 7.54

---

## Pm2Ni5B4 (PBE)

Data for crystalline Pm2Ni5B4 at its relaxed geometry.

Lattice parameters (Å, degrees): 5.085 5.525 6.107 71.07 65.40 62.60
Atoms (fractional coordinates):
B 0.778 0.603 0.841
B 0.600 0.943 0.858
B 0.400 0.057 0.142
B 0.222 0.397 0.159
Ni 0.177 0.278 0.872
Ni 0.673 0.278 0.872
Ni 0.823 0.722 0.128
Ni 0.327 0.722 0.128
Ni 0.000 0.500 0.500
Pm 0.275 0.801 0.650
Pm 0.725 0.199 0.350

## Properties
ΔH_f (0 K) in eV per atom: -0.482
Total DFT energy (no corrections) in eV per atom: -6.4015
Fermi-level density of states in states/eV per cell: 5.44

---

## PmNi10B2 (PBE)

Data for crystalline PmNi10B2 at its relaxed geometry.

Lattice parameters (Å, degrees): 4.590 6.282 5.917 81.85 67.18 68.57
Atoms (fractional coordinates):
Ni 0.655 0.358 0.333
Ni 0.500 0.000 0.500
Ni 0.479 0.257 0.784
Ni 0.000 0.000 0.500
Ni 0.521 0.743 0.216
Ni 0.013 0.642 0.333
Ni 0.737 0.743 0.784
Ni 0.987 0.358 0.667
Ni 0.263 0.257 0.216
Ni 0.345 0.642 0.667
B 0.000 0.500 0.000
B 0.500 0.500 0.000
Pm 0.000 0.000 0.000

## Properties
ΔH_f (0 K) in eV per atom: -0.130
Total DFT energy (no corrections) in eV per atom: -5.9699
Fermi-level density of states in states/eV per cell: 16.75

---

## PmNi3B (PBE)

Data for crystalline PmNi3B at its relaxed geometry.

Lattice parameters (Å, degrees): 5.664 5.664 9.613 90.00 90.00 120.00
Atoms (fractional coordinates):
Ni 0.158 0.317 0.750
Ni 0.842 0.158 0.250
Ni 0.000 0.500 0.000
Ni 0.500 0.000 0.500
Ni 0.500 0.000 0.000
Ni 0.500 0.500 0.500
Ni 0.500 0.500 0.000
Ni 0.683 0.842 0.750
Ni 0.842 0.683 0.250
Ni 0.317 0.158 0.250
Ni 0.000 0.500 0.500
Ni 0.158 0.842 0.750
B 0.333 0.667 0.863
B 0.667 0.333 0.137
B 0.333 0.667 0.637
B 0.667 0.333 0.363
Pm 0.333 0.667 0.250
Pm 0.000 0.000 0.000
Pm 0.000 0.000 0.500
Pm 0.667 0.333 0.750

## Properties
Energy above the lowest structure with this stoichiometry in eV/atom: 0.021
ΔH_f (0 K) in eV per atom: -0.287
Total DFT energy (no corrections) in eV per atom: -6.0413
Fermi-level density of states in states/eV per cell: 12.14

---

## PmNi4B4 (PBE)

Data for crystalline PmNi4B4 at its relaxed geometry.

Lattice parameters (Å, degrees): 5.085 5.085 7.138 90.00 90.00 90.00
Atoms (fractional coordinates):
Ni 0.749 0.500 0.866
Ni 0.500 0.749 0.134
Ni 0.251 0.500 0.866
Ni 0.000 0.249 0.366
Ni 0.751 0.000 0.634
Ni 0.500 0.251 0.134
Ni 0.000 0.751 0.366
Ni 0.249 0.000 0.634
Pm 0.000 0.000 0.000
Pm 0.500 0.500 0.500
B 0.000 0.330 0.661
B 0.170 0.500 0.161
B 0.670 0.000 0.339
B 0.500 0.170 0.839
B 0.330 0.000 0.339
B 0.830 0.500 0.161
B 0.500 0.830 0.839
B 0.000 0.670 0.661

## Properties
Energy above the lowest structure with this stoichiometry in eV/atom: 0.008
ΔH_f (0 K) in eV per atom: -0.393
Total DFT energy (no corrections) in eV per atom: -6.4579
Fermi-level density of states in states/eV per cell: 13.71